The following is a PBE calculation of a geometry-optimized FeHgSb2I structure, from the Alexandria database.

Structure (POSCAR):
```
FeHgSb2I
1.0
4.878 0.000 0.000
0.000 4.878 0.000
0.000 0.000 5.821
Fe Hg Sb I
1 1 2 1
direct
0.000 0.000 0.000
0.500 0.500 0.500
0.000 0.500 0.000
0.500 0.000 0.000
0.000 0.000 0.500
```

Values from the calculation:
- total magnetic moment (μB per cell) = 0.0
- space group = P4/mmm, No. 123
- crystal system = tetragonal
- energy relative to the elements, uncorrected (meV per atom) = 359